No. 1
VASP calculation (GGA-PBE) on an optimized crystal structure of RbPIr2.

a b c (Å): 4.969 6.836 6.849
angles (deg): 66.05 71.08 80.49
Sites, in units of the cell vectors:
Rb 0.182 0.989 0.727
Rb 0.818 0.011 0.273
P 0.620 0.545 0.199
P 0.380 0.455 0.801
Ir 0.199 0.478 0.134
Ir 0.801 0.522 0.866
Ir 0.770 0.454 0.504
Ir 0.230 0.546 0.496

Calculated values
As for the space group: P-1, No. 2. The calculation puts the formation energy at -0.14 eV per atom.

=====

No. 2
VASP calculation (GGA-PBE) on an optimized crystal structure of CsNdH6Pt2.

a b c (Å): 6.528 6.528 7.832
angles (deg): 105.62 105.62 89.56
Sites, in units of the cell vectors:
Cs 0.091 0.909 0.250
Cs 0.909 0.091 0.750
Nd 0.559 0.441 0.250
Nd 0.441 0.559 0.750
H 0.895 0.299 0.257
H 0.701 0.105 0.243
H 0.105 0.701 0.743
H 0.299 0.895 0.757
H 0.178 0.365 0.167
H 0.635 0.822 0.333
H 0.822 0.635 0.833
H 0.365 0.178 0.667
H 0.333 0.622 0.459
H 0.378 0.667 0.041
H 0.667 0.378 0.541
H 0.622 0.333 0.959
Pt 0.456 0.109 0.863
Pt 0.891 0.544 0.637
Pt 0.544 0.891 0.137
Pt 0.109 0.456 0.363

Calculated values
For the energy, the calculation gives -4.179 eV per atom. As for the space group: C2/c, No. 15.

=====

No. 3
VASP calculation (GGA-PBE) on an optimized crystal structure of CsY2CrH.

a b c (Å): 5.064 6.668 5.064
angles (deg): 90.00 90.00 90.00
Sites, in units of the cell vectors:
Cs 0.000 0.500 0.000
Y 0.000 0.000 0.500
Y 0.500 0.000 0.000
H 0.500 0.500 0.500
Cr 0.000 0.000 0.000

Calculated values
For the energy, the calculation gives -4.247 eV per atom. As for the space group: P4/mmm, No. 123.

=====

No. 4
VASP calculation (GGA-PBE) on an optimized crystal structure of PrNdSm2Dy2.

a b c (Å): 3.432 6.639 18.165
angles (deg): 90.00 90.00 90.00
Sites, in units of the cell vectors:
Pr 0.000 0.000 0.000
Pr 0.500 0.500 0.500
Nd 0.500 0.500 0.000
Nd 0.000 0.000 0.500
Sm 0.500 0.276 0.313
Sm 0.000 0.776 0.187
Sm 0.500 0.724 0.687
Sm 0.000 0.224 0.813
Dy 0.500 0.779 0.351
Dy 0.500 0.221 0.649
Dy 0.000 0.721 0.851
Dy 0.000 0.279 0.149

Calculated values
As for the space group: Pnnm, No. 58. The calculation puts the formation energy at 0.26 eV per atom.